# 1
## Ba4V6F19 (PBE+U)

Data for a geometry-optimized Ba4V6F19 structure.

Cell: 8.498 8.498 8.498 Å, 109.47 109.47 109.47°
Element x y z (fractional)
Ba: 0.000 0.000 0.671
Ba: 0.000 0.671 0.000
Ba: 0.329 0.329 0.329
Ba: 0.671 0.000 0.000
V: 0.158 0.658 0.500
V: 0.342 0.500 0.842
V: 0.500 0.158 0.658
V: 0.500 0.842 0.342
V: 0.658 0.500 0.158
V: 0.842 0.342 0.500
F: 0.000 0.000 0.000
F: 0.000 0.346 0.346
F: 0.000 0.654 0.654
F: 0.043 0.365 0.746
F: 0.254 0.619 0.297
F: 0.297 0.254 0.619
F: 0.322 0.957 0.703
F: 0.346 0.000 0.346
F: 0.346 0.346 0.000
F: 0.365 0.746 0.043
F: 0.381 0.635 0.678
F: 0.619 0.297 0.254
F: 0.635 0.678 0.381
F: 0.654 0.000 0.654
F: 0.654 0.654 0.000
F: 0.678 0.381 0.635
F: 0.703 0.322 0.957
F: 0.746 0.043 0.365
F: 0.957 0.703 0.322

Computed properties:
VASP energy: -6.0635 eV per atom
total magnetization: 18.01 μB/f.u.
crystal system: cubic
space group: I23, No. 197

---

# 2
## NiTeN2F (PBE+U)

Data for a geometry-optimized NiTeN2F structure.

Cell: 3.637 3.637 5.519 Å, 90.00 90.00 90.00°
Element x y z (fractional)
Ni: 0.000 0.000 0.000
Te: 0.000 0.000 0.500
N: 0.000 0.500 0.000
N: 0.500 0.000 0.000
F: 0.500 0.500 0.500

Computed properties:
VASP energy: -3.7338 eV per atom
energy relative to the lowest polymorph listed for this composition: 2.13 eV/f.u.
total magnetization: 3.66 μB/f.u.
crystal system: tetragonal
space group: P4/mmm, No. 123

---

# 3
## TiFeO3 (PBE+U)

Data for a geometry-optimized TiFeO3 structure.

Cell: 5.178 5.178 5.522 Å, 117.44 117.44 60.44°
Element x y z (fractional)
Ti: 0.245 0.755 0.500
Ti: 0.755 0.245 0.000
Fe: 0.458 0.964 0.144
Fe: 0.964 0.458 0.644
O: 0.028 0.894 0.815
O: 0.136 0.400 0.327
O: 0.400 0.136 0.827
O: 0.522 0.649 0.315
O: 0.649 0.522 0.815
O: 0.894 0.028 0.315

Computed properties:
VASP energy: -8.0595 eV per atom
total magnetization: 4.00 μB/f.u.
crystal system: monoclinic
space group: Cc, No. 9